DFT (GGA-PBE) results for crystalline FeBPAuC2 at its relaxed geometry.

Calculated values
ΔE_f ... 34 kJ/mol of atoms
Space group ... No. 1
DOS at the Fermi energy ... 2.70 states/eV per cell
Energy above the lowest structure with this stoichiometry ... 37 meV per atom
Total magnetic moment ... 1.41 μB per cell

abc: 2.6889 4.7946 5.4214
angles: 101.02 104.93 89.57
Last column: magnetic moment on the atom in μB.
Element x y z (fractional)
1 Au 0.5324 0.1067 0.8497  0.03
2 C 0.8924 0.4731 0.4325  -0.07
3 C 0.0405 0.5593 0.7158  0.02
4 B 0.6166 0.6056 0.8669  -0.01
5 P 0.8004 0.7573 0.2427  -0.02
6 Fe 0.3425 0.1560 0.3394  1.52

***

DFT (GGA-PBE) results for crystalline Sr2YIn at its relaxed geometry.

Calculated values
ΔE_f ... -4 kJ/mol of atoms
Space group ... No. 216
DOS at the Fermi energy ... 3.76 states/eV per cell
Total magnetic moment ... 0.00 μB per cell

abc: 5.8372 5.8372 5.8372
angles: 60.00 60.00 60.00
Element x y z (fractional)
1 Sr 0.0000 0.0000 0.0000
2 Sr 0.2500 0.2500 0.2500
3 Y 0.7500 0.7500 0.7500
4 In 0.5000 0.5000 0.5000

***

DFT (GGA-PBE) results for crystalline Nd3SmHo2As6 at its relaxed geometry.

Calculated values
ΔE_f ... -146 kJ/mol of atoms
Space group ... No. 12
DOS at the Fermi energy ... 1.71 states/eV per cell
Total magnetic moment ... 0.00 μB per cell

abc: 7.2866 7.2866 7.2835
angles: 99.59 99.59 119.99
Element x y z (fractional)
1 As 0.9193 0.5822 0.7579
2 As 0.0807 0.4178 0.2421
3 As 0.4178 0.0807 0.2421
4 As 0.5822 0.9193 0.7579
5 As 0.7433 0.7433 0.2413
6 As 0.2567 0.2567 0.7587
7 Ho 0.3330 0.6670 0.0000
8 Ho 0.6670 0.3330 0.0000
9 Sm 0.0000 0.0000 0.0000
10 Nd 0.1658 0.8342 0.5000
11 Nd 0.8342 0.1658 0.5000
12 Nd 0.5000 0.5000 0.5000

***

DFT (GGA-PBE) results for crystalline K5HgAs2 at its relaxed geometry.

Calculated values
ΔE_f ... -32 kJ/mol of atoms
Space group ... No. 194
DOS at the Fermi energy ... 6.79 states/eV per cell
Total magnetic moment ... 0.60 μB per cell

abc: 5.9074 5.9074 20.2018
angles: 90.00 90.00 120.00
Element x y z (fractional)
1 K 0.0000 0.0000 0.1375
2 K 0.6667 0.3333 0.2500
3 K 0.0000 0.0000 0.8625
4 K 0.0000 0.0000 0.6375
5 K 0.3333 0.6667 0.7500
6 K 0.3333 0.6667 0.5484
7 K 0.6667 0.3333 0.0484
8 K 0.3333 0.6667 0.9516
9 K 0.6667 0.3333 0.4516
10 K 0.0000 0.0000 0.3625
11 As 0.6667 0.3333 0.6214
12 As 0.3333 0.6667 0.1214
13 As 0.3333 0.6667 0.3786
14 As 0.6667 0.3333 0.8786
15 Hg 0.6667 0.3333 0.7500
16 Hg 0.3333 0.6667 0.2500

***

DFT (GGA-PBE) results for crystalline LaIn2P2 at its relaxed geometry.

Calculated values
ΔE_f ... -49 kJ/mol of atoms
Space group ... No. 139
DOS at the Fermi energy ... 1.56 states/eV per cell
Energy above the lowest structure with this stoichiometry ... 0 meV per atom
Total magnetic moment ... 0.00 μB per cell

abc: 4.1623 4.1623 7.6768
angles: 74.27 74.27 90.00
Element x y z (fractional)
1 P 0.4226 0.4226 0.1548
2 P 0.5774 0.5774 0.8452
3 In 0.2500 0.7500 0.5000
4 In 0.7500 0.2500 0.5000
5 La 0.0000 0.0000 0.0000

***

DFT (GGA-PBE) results for crystalline RbSrInSb2 at its relaxed geometry.

Calculated values
Space group ... No. 123
DOS at the Fermi energy ... 3.09 states/eV per cell
Total magnetic moment ... 0.00 μB per cell
Raw total energy ... -2.654 eV per atom

abc: 5.8973 5.8691 5.8973
angles: 90.00 90.00 90.00
Element x y z (fractional)
1 Sb 0.0000 0.0000 0.5000
2 Sb 0.5000 0.0000 0.0000
3 Sr 0.5000 0.5000 0.5000
4 In 0.0000 0.0000 0.0000
5 Rb 0.0000 0.5000 0.0000

***

DFT (GGA-PBE) results for crystalline RbCl2F at its relaxed geometry.

Calculated values
Space group ... No. 8
DOS at the Fermi energy ... 0.00 states/eV per cell
Total magnetic moment ... 0.00 μB per cell
Raw total energy ... -2.995 eV per atom

abc: 4.6874 4.8194 7.0225
angles: 104.32 90.00 119.10
Element x y z (fractional)
1 F 0.6157 0.2314 0.4136
2 Cl 0.8706 0.7413 0.0261
3 Cl 0.7395 0.4789 0.7161
4 Rb 0.2742 0.5484 0.3442

***

DFT (GGA-PBE) results for crystalline Cs2Cd2Hg at its relaxed geometry.

Calculated values
ΔE_f ... 1 kJ/mol of atoms
Space group ... No. 127
DOS at the Fermi energy ... 8.02 states/eV per cell
Energy above the lowest structure with this stoichiometry ... 117 meV per atom
Total magnetic moment ... 0.00 μB per cell

abc: 10.9145 10.9145 4.4558
angles: 90.00 90.00 90.00
Element x y z (fractional)
1 Hg 0.5000 0.5000 0.0000
2 Hg 0.0000 0.0000 0.0000
3 Cd 0.0968 0.5968 0.5000
4 Cd 0.5968 0.9032 0.5000
5 Cd 0.9032 0.4032 0.5000
6 Cd 0.4032 0.0968 0.5000
7 Cs 0.6915 0.1915 0.0000
8 Cs 0.3085 0.8085 0.0000
9 Cs 0.8085 0.6915 0.0000
10 Cs 0.1915 0.3085 0.0000